Record 1
First-principles (GGA-PBE) data for a geometry-optimized BaCeAs structure, as listed in Alexandria.

abc: 7.4321 4.3466 4.3466
angles: 120.00 90.00 90.00
Last column: magnetic moment on the atom in μB.
Fractional coordinates of all 3 atoms:
As  0.0301  0.0000  0.0000  -0.03
Ba  0.7406  0.6667  0.3333  0.04
Ce  0.2293  0.3333  0.6667  1.06

Space group = P3m1
ΔH_f (0 K) = -15.49 kcal/mol of atoms

=====

Record 2
First-principles (GGA-PBE) data for a geometry-optimized Ba5CeAs4 structure, as listed in Alexandria.

abc: 4.6328 9.1843 10.3854
angles: 102.75 102.89 90.00
Last column: magnetic moment on the atom in μB.
Fractional coordinates of all 10 atoms:
Ba  0.8419  0.6799  0.6838  0.04
Ba  0.8322  0.1495  0.6644  0.03
Ba  0.1678  0.8505  0.3356  0.03
Ba  0.5000  0.5000  0.0000  0.04
Ba  0.1581  0.3201  0.3162  0.04
Ce  0.5000  0.0000  0.0000  0.61
As  0.3427  0.9143  0.6855  0.01
As  0.0024  0.7731  0.0047  -0.01
As  0.6573  0.0857  0.3145  0.01
As  0.9976  0.2269  0.9953  -0.01

Space group = C2/m
ΔH_f (0 K) = -22.95 kcal/mol of atoms

=====

> Which value of ΔH_f (0 K) does entry 2 give?

-22.95 kcal/mol of atoms

=====

What did the first record say?
First-principles (GGA-PBE) data for a geometry-optimized BaCeAs structure, as listed in Alexandria.

abc: 7.4321 4.3466 4.3466
angles: 120.00 90.00 90.00
Last column: magnetic moment on the atom in μB.
Fractional coordinates of all 3 atoms:
As  0.0301  0.0000  0.0000  -0.03
Ba  0.7406  0.6667  0.3333  0.04
Ce  0.2293  0.3333  0.6667  1.06

Space group = P3m1
ΔH_f (0 K) = -15.49 kcal/mol of atoms

=====

> Among the records above, which one has the highest ΔH_f (0 K)?

BaCeAs

=====

Copy entry 2 word for word.
First-principles (GGA-PBE) data for a geometry-optimized Ba5CeAs4 structure, as listed in Alexandria.

abc: 4.6328 9.1843 10.3854
angles: 102.75 102.89 90.00
Last column: magnetic moment on the atom in μB.
Fractional coordinates of all 10 atoms:
Ba  0.8419  0.6799  0.6838  0.04
Ba  0.8322  0.1495  0.6644  0.03
Ba  0.1678  0.8505  0.3356  0.03
Ba  0.5000  0.5000  0.0000  0.04
Ba  0.1581  0.3201  0.3162  0.04
Ce  0.5000  0.0000  0.0000  0.61
As  0.3427  0.9143  0.6855  0.01
As  0.0024  0.7731  0.0047  -0.01
As  0.6573  0.0857  0.3145  0.01
As  0.9976  0.2269  0.9953  -0.01

Space group = C2/m
ΔH_f (0 K) = -22.95 kcal/mol of atoms